# 1
The following is a DFT calculation (PBE-GGA) of Tm4AgPd7 after structural relaxation.

The value obtained for the magnetization is 0.000 Bohr magnetons per cell. The formation energy comes out at -765 meV/atom. The volume comes out at 19.4 Å³/atom. As for the density of states at the Fermi level: 0.4537 states/eV/atom.

Unit cell a=19.0090 b=4.6678 c=5.4309 alpha=90.00 beta=104.39 gamma=90.00
With the nearest neighbours (Å) after each atom.
Space group C2/m (No. 12)
Inequivalent atoms, fractional coordinates:
Tm (0.1094, 0.0000, 0.3427) x4  6 Pd 2.75-3.05
Tm (0.1413, 0.5000, 0.8346) x4  7 Pd 2.72-2.95, 1 Ag 3.04
Ag (0.0000, 0.5000, 0.0000) x2  6 Pd 2.72-2.85, 2 Tm 3.04
Pd (0.0000, 0.5000, 0.5000) x2  2 Ag 2.72, 4 Pd 2.84, 2 Tm 2.84
Pd (0.0488, 0.0000, 0.7915) x4  3 Pd 2.84-3.06, 2 Ag 2.85, 5 Tm 2.90-2.94
Pd (0.2109, 0.0000, 0.0602) x4  4 Tm 2.72-2.81, 5 Pd 2.90-3.01
Pd (0.2146, 0.5000, 0.3812) x4  6 Pd 2.84-3.07, 4 Tm 2.95-3.12

# 2
The following is a DFT calculation (PBE-GGA) of BaNaCu2Cl6 after structural relaxation.

The value obtained for the magnetization is 3.186 Bohr magnetons per cell. The uncorrected formation energy comes out at -13.2 eV per formula unit. The volume comes out at 30.2 Å³/atom. As for the density of states at the Fermi level: 1.2642 states/eV/atom.

Unit cell a=6.9394 b=6.9394 c=21.7054 alpha=90.00 beta=90.00 gamma=120.00
With the nearest neighbours (Å) after each atom.
Space group R-3 (No. 148, hexagonal axes)
Inequivalent atoms, fractional coordinates:
Ba (0.0000, 0.0000, 0.0000) x3  6 Cl 3.11
Na (0.0000, 0.0000, 0.5000) x3  6 Cl 2.85
Cu (0.0000, 0.0000, 0.2457) x6  3 Cl 2.21
Cl (0.0040, 0.3602, 0.9138) x18  1 Cu 2.21

# 3
The following is a DFT calculation (PBE-GGA) of Rb2Ba2TaSe6 after structural relaxation.

The value obtained for the magnetization is 0.004 Bohr magnetons per cell. The uncorrected formation energy comes out at -13.4 eV per formula unit. The volume comes out at 38.0 Å³/atom. As for the density of states at the Fermi level: 1.3029 states/eV/atom.

Unit cell a=7.9519 b=13.1183 c=8.4514 alpha=90.00 beta=108.65 gamma=90.00
With the nearest neighbours (Å) after each atom.
Space group C2/m (No. 12)
Inequivalent atoms, fractional coordinates:
Rb (0.0000, 0.1754, 0.0000) x4  6 Se 3.44-3.79
Ba (0.0000, 0.3371, 0.5000) x4  6 Se 3.23-3.29
Ta (0.0000, 0.0000, 0.5000) x2  6 Se 2.62
Se (0.1982, 0.0000, 0.3054) x4  1 Ta 2.62
Se (0.2037, 0.1378, 0.6942) x8  1 Ta 2.62

# 4
The following is a DFT calculation (PBE-GGA) of BaLiCl2 after structural relaxation.

The value obtained for the magnetization is 1.709 Bohr magnetons per cell. The uncorrected formation energy comes out at -6.2 eV per formula unit. The volume comes out at 28.2 Å³/atom. As for the density of states at the Fermi level: 0.4483 states/eV/atom.

Unit cell a=3.8872 b=4.3874 c=13.2084 alpha=90.00 beta=90.00 gamma=90.00
With the nearest neighbours (Å) after each atom.
Space group Imm2 (No. 44)
Inequivalent atoms, fractional coordinates:
Ba (0.0000, 0.0000, 0.0000) x2  6 Cl 3.16-3.29
Li (0.0000, 0.5000, 0.2694) x2  6 Cl 2.84-3.03
Cl (0.0000, 0.0000, 0.6128) x2  2 Li 2.84
Cl (0.0000, 0.5000, 0.8280) x2  4 Li 3.03, 2 Ba 3.16

# 5
The following is a DFT calculation (PBE-GGA) of GaCuGe after structural relaxation.

The value obtained for the magnetization is 0.000 Bohr magnetons per cell. The formation energy comes out at 90 meV/atom. The volume comes out at 17.2 Å³/atom. As for the density of states at the Fermi level: 0.3376 states/eV/atom.

Unit cell a=4.2685 b=4.4251 c=6.2387 alpha=109.97 beta=109.57 gamma=90.70
With the nearest neighbours (Å) after each atom.
Space group P1 (No. 1)
Inequivalent atoms, fractional coordinates:
Ga (0.0000, 0.0000, 0.0000) x1  1 Ge 2.48, 3 Cu 2.49-2.77, 1 Ga 2.73
Ga (0.1033, 0.1970, 0.4859) x1  4 Cu 2.53-2.60, 1 Ga 2.73, 1 Ge 2.81
Cu (0.7395, 0.3219, 0.7443) x1  4 Ge 2.49-2.69, 3 Ga 2.49-2.59, 1 Cu 2.71
Cu (0.9857, 0.5808, 0.2402) x1  4 Ga 2.51-2.77, 4 Ge 2.52-2.72, 1 Cu 2.71
Ge (0.3891, 0.5871, 0.9841) x1  1 Ga 2.48, 4 Cu 2.49-2.72
Ge (0.6120, 0.7007, 0.4989) x1  4 Cu 2.55-2.59, 1 Ga 2.81

# 6
The following is a DFT calculation (PBE-GGA) of SrCa3Cu after structural relaxation.

The value obtained for the magnetization is 0.000 Bohr magnetons per cell. The formation energy comes out at -30 meV/atom. The volume comes out at 38.3 Å³/atom. As for the density of states at the Fermi level: 0.7753 states/eV/atom.

Unit cell a=9.9535 b=4.2103 c=9.9806 alpha=90.00 beta=113.61 gamma=90.00
With the nearest neighbours (Å) after each atom.
Space group P2_1/m (No. 11)
Inequivalent atoms, fractional coordinates:
Sr (0.1374, 0.2500, 0.4164) x2  7 Ca 3.90-4.24, 4 Sr 4.21-4.28
Ca (0.1642, 0.7500, 0.0990) x2  1 Cu 3.15
Ca (0.2332, 0.2500, 0.8364) x2  3 Cu 2.97-3.02
Ca (0.4965, 0.7500, 0.7282) x2  3 Cu 3.13-3.20
Cu (0.4416, 0.7500, 0.0225) x2  2 Cu 2.53